DFT (PBE) results for a relaxed ReH2Br8 crystal.

```
data_ReH2Br8
_symmetry_space_group_name_H-M 'C 1 2/m 1'
_symmetry_Int_Tables_number 12
_cell_length_a 13.915
_cell_length_b 9.121
_cell_length_c 5.840
_cell_angle_alpha 90.00
_cell_angle_beta 92.64
_cell_angle_gamma 90.00
loop_
_symmetry_equiv_pos_as_xyz
'x,y,z'
'-x,-y,-z'
'-x,y,-z'
'x,-y,z'
'x+1/2,y+1/2,z'
'-x+1/2,-y+1/2,-z'
'-x+1/2,y+1/2,-z'
'x+1/2,-y+1/2,z'
loop_
_atom_site_label
_atom_site_fract_x
_atom_site_fract_y
_atom_site_fract_z
Re1 0.000 0.000 0.000
H1 0.225 0.500 0.944
Br1 0.071 0.190 0.253
Br2 0.144 0.500 0.776
Br3 0.147 0.000 0.770
```



DFT (PBE) results for a relaxed Pm7Tl3C2 crystal.

```
data_Pm7Tl3C2
_symmetry_space_group_name_H-M 'I 4/m m m'
_symmetry_Int_Tables_number 139
_symmetry_space_group_name_Hall '-I 4 2'
_cell_length_a 5.096
_cell_length_b 5.096
_cell_length_c 25.780
_cell_angle_alpha 90.00
_cell_angle_beta 90.00
_cell_angle_gamma 90.00
loop_
_atom_site_label
_atom_site_fract_x
_atom_site_fract_y
_atom_site_fract_z
Pm1 0.000 0.000 0.000
Pm2 0.000 0.000 0.198
Pm3 0.000 0.500 0.097
Tl1 0.000 0.000 0.322
Tl2 0.000 0.000 0.500
C1 0.000 0.000 0.102
```

Summary:
ΔE_f: -0.2835 eV per atom



DFT (PBE) results for a relaxed CaCdO2 crystal.

```
data_CaCdO2
_symmetry_space_group_name_H-M 'R 3 m'
_symmetry_Int_Tables_number 160
_symmetry_space_group_name_Hall 'R 3 -2"'
_cell_length_a 3.3462
_cell_length_b 3.3462
_cell_length_c 17.2973
_cell_angle_alpha 90.00
_cell_angle_beta 90.00
_cell_angle_gamma 120.00
loop_
_atom_site_label
_atom_site_fract_x
_atom_site_fract_y
_atom_site_fract_z
Ca1 0.0000 0.0000 0.0000
Cd1 0.0000 0.0000 0.1707
O1 0.0000 0.0000 0.4158
O2 0.0000 0.0000 0.5887
```

Summary:
Formation energy (no corrections): -733 kJ/mol of formula units



DFT (PBE) results for a relaxed Cr4SnRu2 crystal.

```
data_Cr4SnRu2
_symmetry_space_group_name_H-M 'I 4/m m m'
_symmetry_Int_Tables_number 139
_symmetry_space_group_name_Hall '-I 4 2'
_cell_length_a 4.914
_cell_length_b 4.914
_cell_length_c 12.421
_cell_angle_alpha 90.00
_cell_angle_beta 90.00
_cell_angle_gamma 90.00
loop_
_atom_site_label
_atom_site_fract_x
_atom_site_fract_y
_atom_site_fract_z
Cr1 0.000 0.000 0.216
Cr2 0.000 0.500 0.000
Sn1 0.000 0.000 0.000
Ru1 0.000 0.000 0.401
```

Summary:
ΔE_f: 1.4736 eV per atom



Number 1: total energy -3.161 eV per atom, spin magnetization 1.0 μB/f.u.. Number 2: total energy -5.184 eV per atom, spin magnetization 0.0 μB/f.u.. Number 3: total energy -5.107 eV per atom, spin magnetization 0.0 μB/f.u.. Number 4: total energy -7.248 eV per atom, spin magnetization 11.7 μB/f.u..